1.
MnNbCo6 | GGA-PBE | relaxed

Values from the calculation:
E: -248.46 eV per cell
spin magnetization: 1.6 μB/f.u.
symmetry: No. 65

Unit cell a=6.2254 b=6.2254 c=10.1594 alpha=90.00 beta=90.00 gamma=109.56
Closest atoms and distances in Å follow each position.
Fractional positions:
Mn: 0.2557 0.7443 0.7500  12 Co 2.46-2.60
Mn: 0.7443 0.2557 0.7500  12 Co 2.46-2.60
Mn: 0.0000 0.0000 0.5028  12 Co 2.48-2.57
Mn: 0.0000 0.0000 0.9972  12 Co 2.48-2.57
Co: 0.1163 0.3715 0.6288  8 Co 2.45-2.60, 3 Mn 2.51-2.53, 1 Nb 2.61
Co: 0.6350 0.8806 0.1211  1 Mn 2.48, 8 Co 2.50-2.63, 3 Nb 2.55-2.59
Co: 0.8806 0.6350 0.3789  1 Mn 2.48, 8 Co 2.50-2.63, 3 Nb 2.55-2.59
Co: 0.1194 0.3650 0.3789  1 Mn 2.48, 8 Co 2.50-2.63, 3 Nb 2.55-2.59
Co: 0.6285 0.8837 0.6288  8 Co 2.45-2.60, 3 Mn 2.51-2.53, 1 Nb 2.61
Co: 0.2456 0.7544 0.9920  8 Co 2.45-2.63, 2 Mn 2.46-2.50, 2 Nb 2.59-2.62
Co: 0.8837 0.6285 0.8712  8 Co 2.45-2.60, 3 Mn 2.51-2.53, 1 Nb 2.61
Co: 0.3715 0.1163 0.8712  8 Co 2.45-2.60, 3 Mn 2.51-2.53, 1 Nb 2.61
Co: 0.3715 0.1163 0.6288  8 Co 2.45-2.60, 3 Mn 2.51-2.53, 1 Nb 2.61
Co: 0.5000 0.5000 0.2500  4 Nb 2.49-2.54, 8 Co 2.59
Co: 0.8806 0.6350 0.1211  1 Mn 2.48, 8 Co 2.50-2.63, 3 Nb 2.55-2.59
Co: 0.7544 0.2456 0.5080  8 Co 2.45-2.63, 2 Mn 2.46-2.50, 2 Nb 2.59-2.62
Co: 0.5000 0.5000 0.7500  2 Mn 2.48, 2 Nb 2.54, 8 Co 2.57
Co: 0.0000 0.0000 0.7500  8 Co 2.50, 4 Mn 2.51-2.60
Co: 0.2456 0.7544 0.5080  8 Co 2.45-2.63, 2 Mn 2.46-2.50, 2 Nb 2.59-2.62
Co: 0.3650 0.1194 0.3789  1 Mn 2.48, 8 Co 2.50-2.63, 3 Nb 2.55-2.59
Co: 0.6350 0.8806 0.3789  1 Mn 2.48, 8 Co 2.50-2.63, 3 Nb 2.55-2.59
Co: 0.8837 0.6285 0.6288  8 Co 2.45-2.60, 3 Mn 2.51-2.53, 1 Nb 2.61
Co: 0.6285 0.8837 0.8712  8 Co 2.45-2.60, 3 Mn 2.51-2.53, 1 Nb 2.61
Co: 0.7544 0.2456 0.9920  8 Co 2.45-2.63, 2 Mn 2.46-2.50, 2 Nb 2.59-2.62
Co: 0.0000 0.0000 0.2500  8 Co 2.51, 2 Mn 2.57, 2 Nb 2.59
Co: 0.1194 0.3650 0.1211  1 Mn 2.48, 8 Co 2.50-2.63, 3 Nb 2.55-2.59
Co: 0.3650 0.1194 0.1211  1 Mn 2.48, 8 Co 2.50-2.63, 3 Nb 2.55-2.59
Co: 0.1163 0.3715 0.8712  8 Co 2.45-2.60, 3 Mn 2.51-2.53, 1 Nb 2.61
Nb: 0.7450 0.2550 0.2500  12 Co 2.49-2.62
Nb: 0.5000 0.5000 0.4995  12 Co 2.54-2.61
Nb: 0.2550 0.7450 0.2500  12 Co 2.49-2.62
Nb: 0.5000 0.5000 0.0005  12 Co 2.54-2.61



2.
Mn2NbCo | GGA-PBE | relaxed

Values from the calculation:
distance to the lowest polymorph of the same formula: 46 meV/atom
spin magnetization: 3.8 μB/f.u.
symmetry: No. 123

Unit cell a=3.8348 b=3.6807 c=3.6807 alpha=90.00 beta=90.00 gamma=90.00
Closest atoms and distances in Å follow each position.
Fractional positions:
Nb: 0.5000 0.0000 0.0000  4 Co 2.60, 8 Mn 2.66
Mn: 0.0000 0.0000 0.5000  4 Mn 2.60, 4 Nb 2.66, 4 Co 2.66
Mn: 0.0000 0.5000 0.0000  4 Mn 2.60, 4 Nb 2.66, 4 Co 2.66
Co: 0.5000 0.5000 0.5000  4 Nb 2.60, 8 Mn 2.66



3.
MnNbCo2 | GGA-PBE | relaxed

Values from the calculation:
distance to the lowest polymorph of the same formula: 0 meV/atom
spin magnetization: 5.9 μB/f.u.
symmetry: No. 225

Unit cell a=4.2251 b=4.2251 c=4.2251 alpha=60.00 beta=60.00 gamma=60.00
Closest atoms and distances in Å follow each position.
Fractional positions:
Mn: 0.0000 0.0000 0.0000  8 Co 2.59
Co: 0.7500 0.7500 0.7500  4 Nb 2.59, 4 Mn 2.59
Co: 0.2500 0.2500 0.2500  4 Mn 2.59, 4 Nb 2.59
Nb: 0.5000 0.5000 0.5000  8 Co 2.59



4.
MnNbCo10 | GGA-PBE | relaxed

Values from the calculation:
E: -88.34 eV per cell
spin magnetization: 18.4 μB/f.u.
symmetry: No. 47

Unit cell a=4.0079 b=4.6629 c=8.0275 alpha=90.00 beta=90.00 gamma=90.00
Closest atoms and distances in Å follow each position.
Fractional positions:
Co: 0.0000 0.5000 0.1717  8 Co 2.40-2.68, 1 Mn 2.64
Co: 0.0000 0.5000 0.8283  8 Co 2.40-2.68, 1 Mn 2.64
Co: 0.5000 0.0000 0.5000  8 Co 2.34-2.39
Co: 0.5000 0.7525 0.7532  8 Co 2.30-2.42
Co: 0.5000 0.7525 0.2468  8 Co 2.30-2.42
Co: 0.5000 0.2475 0.2468  8 Co 2.30-2.42
Co: 0.5000 0.2475 0.7532  8 Co 2.30-2.42
Co: 0.0000 0.0000 0.6630  7 Co 2.39-2.62, 2 Mn 2.67
Co: 0.5000 0.5000 0.0000  8 Co 2.30-2.43
Co: 0.0000 0.0000 0.3370  7 Co 2.39-2.62, 2 Mn 2.67
Nb: 0.0000 0.0000 0.0000  6 Co 2.71
Mn: 0.0000 0.5000 0.5000  6 Co 2.64-2.67



5.
MnNbCo2 | GGA-PBE | relaxed

Values from the calculation:
distance to the lowest polymorph of the same formula: 17 meV/atom
spin magnetization: 2.0 μB/f.u.
symmetry: No. 123

Unit cell a=3.6120 b=3.7277 c=3.7277 alpha=90.00 beta=90.00 gamma=90.00
Closest atoms and distances in Å follow each position.
Fractional positions:
Co: 0.0000 0.0000 0.5000  4 Mn 2.60, 4 Nb 2.60, 4 Co 2.64
Co: 0.0000 0.5000 0.0000  4 Mn 2.60, 4 Nb 2.60, 4 Co 2.64
Mn: 0.5000 0.5000 0.5000  8 Co 2.60, 4 Nb 2.64
Nb: 0.5000 0.0000 0.0000  8 Co 2.60, 4 Mn 2.64



6.
Mn2NbCo2 | GGA-PBE | relaxed

Values from the calculation:
distance to the lowest polymorph of the same formula: 2 meV/atom
spin magnetization: 1.9 μB/f.u.
symmetry: No. 127

Unit cell a=6.9109 b=6.9109 c=2.5592 alpha=90.00 beta=90.00 gamma=90.00
Closest atoms and distances in Å follow each position.
Fractional positions:
Nb: 0.0000 0.0000 0.0000  2 Nb 2.56, 4 Co 2.74, 8 Mn 2.87
Nb: 0.5000 0.5000 0.0000  2 Nb 2.56, 4 Co 2.74, 8 Mn 2.87
Co: 0.6233 0.1233 0.0000  6 Mn 2.39-2.42, 3 Co 2.41-2.56
Co: 0.8767 0.6233 0.0000  6 Mn 2.39-2.42, 3 Co 2.41-2.56
Co: 0.1233 0.3767 0.0000  6 Mn 2.39-2.42, 3 Co 2.41-2.56
Co: 0.3767 0.8767 0.0000  6 Mn 2.39-2.42, 3 Co 2.41-2.56
Mn: 0.3296 0.1704 0.5000  6 Co 2.39-2.42, 2 Mn 2.56
Mn: 0.6704 0.8296 0.5000  6 Co 2.39-2.42, 2 Mn 2.56
Mn: 0.1704 0.6704 0.5000  6 Co 2.39-2.42, 2 Mn 2.56
Mn: 0.8296 0.3296 0.5000  6 Co 2.39-2.42, 2 Mn 2.56



7.
Mn4Nb3Co | GGA-PBE | relaxed

Values from the calculation:
E: -72.90 eV per cell
spin magnetization: 3.5 μB/f.u.
symmetry: No. 10

Unit cell a=5.6818 b=7.4228 c=4.1532 alpha=90.00 beta=90.00 gamma=139.89
Closest atoms and distances in Å follow each position.
Fractional positions:
Mn: 0.7139 0.2889 0.0000  3 Mn 2.28-2.55, 1 Co 2.52, 2 Nb 2.53
Mn: 0.4375 0.2728 0.5000  2 Co 2.49, 3 Mn 2.55-2.73, 5 Nb 2.59-2.78
Mn: 0.6002 0.7272 0.5000  2 Co 2.49, 3 Mn 2.55-2.73, 5 Nb 2.59-2.78
Mn: 0.3240 0.7112 0.0000  3 Mn 2.28-2.55, 1 Co 2.52, 2 Nb 2.53
Co: 0.5188 0.4999 0.0000  2 Nb 2.39, 6 Mn 2.49-2.52
Nb: 0.0189 0.9999 0.0000  2 Co 2.39, 4 Mn 2.59
Nb: 0.9146 0.2388 0.5000  5 Mn 2.53-2.78
Nb: 0.1232 0.7612 0.5000  5 Mn 2.53-2.78



8.
MnNbCo2 | GGA-PBE | relaxed

Values from the calculation:
distance to the lowest polymorph of the same formula: 571 meV/atom
spin magnetization: 4.0 μB/f.u.
symmetry: No. 122

Unit cell a=3.5939 b=3.5939 c=9.0223 alpha=78.51 beta=78.51 gamma=90.00
Closest atoms and distances in Å follow each position.
Fractional positions:
Co: 0.5808 0.1250 0.2500  2 Co 2.33, 2 Mn 2.46, 2 Nb 2.57
Co: 0.1692 0.6250 0.2500  2 Co 2.33, 2 Mn 2.46, 2 Nb 2.57
Co: 0.8750 0.8308 0.7500  2 Co 2.33, 2 Mn 2.46, 2 Nb 2.57
Co: 0.3750 0.4192 0.7500  2 Co 2.33, 2 Mn 2.46, 2 Nb 2.57
Nb: 0.7500 0.2500 0.5000  4 Mn 2.54, 4 Co 2.57
Nb: 0.0000 0.0000 0.0000  4 Mn 2.54, 4 Co 2.57
Mn: 0.2500 0.7500 0.5000  4 Co 2.46, 4 Nb 2.54
Mn: 0.5000 0.5000 0.0000  4 Co 2.46, 4 Nb 2.54



9.
MnNbCo2 | GGA-PBE | relaxed

Values from the calculation:
distance to the lowest polymorph of the same formula: 42 meV/atom
spin magnetization: 5.9 μB/f.u.
symmetry: No. 123

Unit cell a=2.9860 b=2.9860 c=5.9761 alpha=90.00 beta=90.00 gamma=90.00
Closest atoms and distances in Å follow each position.
Fractional positions:
Co: 0.0000 0.0000 0.2351  4 Mn 2.54, 4 Nb 2.64, 1 Co 2.81
Co: 0.0000 0.0000 0.7649  4 Mn 2.54, 4 Nb 2.64, 1 Co 2.81
Mn: 0.5000 0.5000 0.0000  8 Co 2.54
Nb: 0.5000 0.5000 0.5000  8 Co 2.64



10.
Mn3NbCo | GGA-PBE | relaxed

Values from the calculation:
E: -36.45 eV per cell
spin magnetization: 10.0 μB/f.u.
symmetry: No. 221

Unit cell a=4.5834 b=4.5834 c=4.5834 alpha=90.00 beta=90.00 gamma=90.00
Closest atoms and distances in Å follow each position.
Fractional positions:
Nb: 0.0000 0.0000 0.0000  6 Mn 2.29
Mn: 0.5000 0.0000 0.0000  2 Nb 2.29
Mn: 0.0000 0.0000 0.5000  2 Nb 2.29
Mn: 0.0000 0.5000 0.0000  2 Nb 2.29
Co: 0.5000 0.5000 0.5000  12 Mn 3.24